1.
Below is YHO2 after structural relaxation, with properties calculated at the GGA-PBE level.

* SG: Pnma

Unit cell a=11.0019 b=3.5506 c=5.0670 alpha=90.00 beta=90.00 gamma=90.00
Closest atoms and distances in Å follow each position.
Positions (direct):
Y  0.1440  0.2500  0.1036  6 O 2.23-2.41
Y  0.3560  0.7500  0.6036  6 O 2.23-2.41
Y  0.6440  0.2500  0.3964  6 O 2.23-2.41
Y  0.8560  0.7500  0.8964  6 O 2.23-2.41
H  0.1004  0.7500  0.6419  1 O 1.00
H  0.3996  0.2500  0.1419  1 O 1.00
H  0.6004  0.7500  0.8581  1 O 1.00
H  0.8996  0.2500  0.3581  1 O 1.00
O  0.0677  0.7500  0.8264  1 H 1.00
O  0.1896  0.7500  0.3517  1 H 1.77
O  0.3104  0.2500  0.8517  1 H 1.77
O  0.4323  0.2500  0.3263  1 H 1.00
O  0.5677  0.7500  0.6736  1 H 1.00
O  0.6896  0.7500  0.1483  1 H 1.77
O  0.8104  0.2500  0.6483  1 H 1.77
O  0.9323  0.2500  0.1736  1 H 1.00



2.
Below is YHO after structural relaxation, with properties calculated at the GGA-PBE level.

* SG: Pnma
* offset from the most stable computed form: 0.022 eV/atom

Unit cell a=5.7711 b=3.3337 c=6.7888 alpha=90.00 beta=90.00 gamma=90.00
Closest atoms and distances in Å follow each position.
Positions (direct):
Y  0.2415  0.2500  0.1281  4 H 2.23-2.25, 5 O 2.34-2.45
Y  0.2585  0.7500  0.6281  4 H 2.23-2.25, 5 O 2.34-2.45
Y  0.7415  0.2500  0.3719  4 H 2.23-2.25, 5 O 2.34-2.45
Y  0.7585  0.7500  0.8719  4 H 2.23-2.25, 5 O 2.34-2.45
H  0.1211  0.2500  0.4428  4 Y 2.23-2.25, 2 H 2.31
H  0.3789  0.7500  0.9428  4 Y 2.23-2.25, 2 H 2.31
H  0.6211  0.2500  0.0572  4 Y 2.23-2.25, 2 H 2.31
H  0.8789  0.7500  0.5572  4 Y 2.23-2.25, 2 H 2.31
O  0.0492  0.2500  0.8244  5 Y 2.34-2.45
O  0.4508  0.7500  0.3244  5 Y 2.34-2.45
O  0.5492  0.2500  0.6756  5 Y 2.34-2.45
O  0.9508  0.7500  0.1756  5 Y 2.34-2.45



3.
Below is YHO2 after structural relaxation, with properties calculated at the GGA-PBE level.

* SG: P6_3/mmc

Unit cell a=3.5319 b=3.5319 c=9.2312 alpha=90.00 beta=90.00 gamma=120.00
Closest atoms and distances in Å follow each position.
Positions (direct):
Y  0.0000  0.0000  0.0000  6 O 2.31
Y  0.0000  0.0000  0.5000  6 O 2.31
H  0.3333  0.6667  0.2500  2 O 1.23
H  0.6667  0.3333  0.7500  2 O 1.23
O  0.3333  0.6667  0.1173  1 H 1.23
O  0.3333  0.6667  0.3827  1 H 1.23
O  0.6667  0.3333  0.6173  1 H 1.23
O  0.6667  0.3333  0.8827  1 H 1.23



4.
Below is Y2HO after structural relaxation, with properties calculated at the GGA-PBE level.

* SG: Fm-3m
* offset from the most stable computed form: 0.753 eV/atom

Unit cell a=4.3160 b=4.3160 c=4.3160 alpha=60.00 beta=60.00 gamma=60.00
Closest atoms and distances in Å follow each position.
Positions (direct):
Y  0.2500  0.2500  0.2500  4 O 2.64, 4 H 2.64
Y  0.7500  0.7500  0.7500  4 O 2.64, 4 H 2.64
H  0.0000  0.0000  0.0000  8 Y 2.64
O  0.5000  0.5000  0.5000  8 Y 2.64



no.,raw total energy (eV per cell)
1,-121.00
2,-86.12
3,-59.92
4,-24.40